Below is a relaxed CsTmFeF6 crystal, with properties calculated at the PBE with a Hubbard U level.

Cell and atoms, written as CIF:
```
data_CsTmFeF6
_space_group_name_H-M_alt 'P 1'
_space_group_IT_number 1
_space_group_name_Hall 'P 1'
_cell_length_a 5.7795
_cell_length_b 5.8105
_cell_length_c 6.4086
_cell_angle_alpha 89.84
_cell_angle_beta 89.58
_cell_angle_gamma 60.31
loop_
_atom_site_label
_atom_site_fract_x
_atom_site_fract_y
_atom_site_fract_z
Cs1 0.0000 0.0000 0.0000
Tm1 0.3343 0.3314 0.5001
Fe1 0.6651 0.6709 0.5001
F1 0.3908 0.0000 0.3154
F2 0.3920 0.6198 0.6744
F3 0.6073 0.0014 0.6858
F4 0.6105 0.3922 0.3156
F5 0.9891 0.6175 0.3250
F6 0.9966 0.3936 0.6846
```

- VASP energy: -51.9 eV for the cell shown
- N(E_F): 0.00 states/eV/cell
- Total magnetization: 4.0 μB per cell